First-principles (PBE) data for a geometry-optimized Tb7Er2Mg structure, as listed in the Alexandria database.

Values from the calculation:
The energy is -3.651 eV per atom. For the formation energy, the calculation gives 662 meV/atom.

The structure in POSCAR format:
```
Tb7Er2Mg
1.0
4.341 -8.092 0.000
4.341 8.092 0.000
0.000 0.000 5.419
Tb Er Mg
7 2 1
direct
0.000 0.000 0.000 Tb
0.213 0.431 0.000 Tb
0.292 0.708 0.500 Tb
0.431 0.213 0.000 Tb
0.569 0.787 0.000 Tb
0.708 0.292 0.500 Tb
0.787 0.569 0.000 Tb
0.206 0.794 0.000 Er
0.794 0.206 0.000 Er
0.500 0.500 0.500 Mg
```